(1)
A geometry-optimized Sr2Pm2O5 structure, computed with PBE-GGA.

The structure belongs to space group P4/mmm (No. 123); the cell edges are 4.326, 4.326 and 8.620 Å and the angles 90.00°, 90.00° and 90.00°. Symmetry generates all atoms from Sr at (0.000, 0.000, 0.232), Pm at (0.500, 0.500, 0.000), Pm at (0.500, 0.500, 0.500), O at (0.000, 0.000, 0.500) and O at (0.000, 0.500, 0.155).

For the final energy, the calculation gives -6.33 eV/atom.

***

(2)
A geometry-optimized HoMoPd structure, computed with PBE-GGA.

The structure belongs to space group F-43m (No. 216); the cell edges are 6.493, 6.493 and 6.493 Å and the angles 90.00°, 90.00° and 90.00°. Symmetry generates all atoms from Ho at (0.000, 0.000, 0.000), Mo at (0.250, 0.250, 0.750) and Pd at (0.250, 0.250, 0.250).

For the final energy, the calculation gives -6.02 eV/atom.

***

(3)
A geometry-optimized LaHoCu2 structure, computed with PBE-GGA.

The structure belongs to space group Pmc2_1 (No. 26); the cell edges are 4.550, 5.524 and 7.224 Å and the angles 90.00°, 90.00° and 90.00°. Symmetry generates all atoms from La at (0.000, 0.120, 0.000), Ho at (0.500, 0.387, 0.638), Cu at (0.000, 0.382, 0.356) and Cu at (0.500, 0.130, 0.289).

For the final energy, the calculation gives -4.44 eV/atom.

***

(4)
A geometry-optimized DyAl structure, computed with PBE-GGA.

The structure belongs to space group Fm-3m (No. 225); the cell edges are 6.008, 6.008 and 6.008 Å and the angles 90.00°, 90.00° and 90.00°. Symmetry generates all atoms from Dy at (0.000, 0.000, 0.000) and Al at (0.000, 0.000, 0.500).

For the final energy, the calculation gives -4.09 eV/atom.

***

(5)
A geometry-optimized Li2AgPt3 structure, computed with PBE-GGA.

The structure belongs to space group P-3m1 (No. 164); the cell edges are 2.7718, 2.7718 and 13.3438 Å and the angles 90.00°, 90.00° and 120.00°. Symmetry generates all atoms from Li at (0.3333, 0.6667, 0.1591), Ag at (0.0000, 0.0000, 0.5000), Pt at (0.0000, 0.0000, 0.0000) and Pt at (0.3333, 0.6667, 0.6840).

For the final energy, the calculation gives -4.55 eV/atom.

***

(6)
A geometry-optimized SmTeMo structure, computed with PBE-GGA.

The structure belongs to space group F-43m (No. 216); the cell edges are 7.218, 7.218 and 7.218 Å and the angles 90.00°, 90.00° and 90.00°. Symmetry generates all atoms from Sm at (0.000, 0.000, 0.000), Te at (0.250, 0.250, 0.250) and Mo at (0.250, 0.250, 0.750).

For the final energy, the calculation gives -5.42 eV/atom.

***

(7)
A geometry-optimized Tm3Zn3Ir2Pt structure, computed with PBE-GGA.

The structure belongs to space group P-62m (No. 189); the cell edges are 7.1294, 7.1294 and 3.8509 Å and the angles 90.00°, 90.00° and 120.00°. Symmetry generates all atoms from Tm at (0.0000, 0.4076, 0.0000), Zn at (0.0000, 0.7448, 0.5000), Ir at (0.3333, 0.6667, 0.5000) and Pt at (0.0000, 0.0000, 0.0000).

For the final energy, the calculation gives -5.37 eV/atom.

***

(8)
A geometry-optimized PaPbO3 structure, computed with PBE-GGA.

The structure belongs to space group R-3 (No. 148, hexagonal axes); the cell edges are 6.2430, 6.2430 and 15.5989 Å and the angles 90.00°, 90.00° and 120.00°. Symmetry generates all atoms from Pa at (0.0000, 0.0000, 0.1448), Pb at (0.0000, 0.0000, 0.3662) and O at (0.0363, 0.4074, 0.4214).

For the final energy, the calculation gives -7.72 eV/atom.

***

(9)
A geometry-optimized Lu2Zr4Bi3N3 structure, computed with PBE-GGA.

The structure belongs to space group C2/c (No. 15); the cell edges are 10.423, 6.032 and 14.749 Å and the angles 90.00°, 103.63° and 90.00°. Symmetry generates all atoms from Lu at (0.055, 0.083, 0.414), Zr at (0.110, 0.418, 0.580), Zr at (0.222, 0.416, 0.920), Bi at (0.000, 0.426, 0.250), Bi at (0.171, 0.088, 0.750), N at (0.081, 0.245, 0.000) and N at (0.250, 0.250, 0.500).

For the final energy, the calculation gives -7.70 eV/atom.

***

(10)
A geometry-optimized LuMgTe3Au structure, computed with PBE-GGA.

The structure belongs to space group Pnma (No. 62); the cell edges are 13.414, 4.107 and 12.322 Å and the angles 90.00°, 90.00° and 90.00°. Symmetry generates all atoms from Lu at (0.058, 0.250, 0.181), Mg at (0.202, 0.250, 0.477), Te at (0.044, 0.750, 0.364), Te at (0.081, 0.250, 0.924), Te at (0.221, 0.750, 0.650) and Au at (0.242, 0.750, 0.323).

For the final energy, the calculation gives -3.85 eV/atom.

***

(11)
A geometry-optimized PrYH4 structure, computed with PBE-GGA.

The structure belongs to space group P4/mmm (No. 123); the cell edges are 3.763, 3.763 and 5.396 Å and the angles 90.00°, 90.00° and 90.00°. Symmetry generates all atoms from Pr at (0.000, 0.000, 0.000), Y at (0.500, 0.500, 0.500) and H at (0.000, 0.500, 0.268).

For the final energy, the calculation gives -4.78 eV/atom.

***

(12)
A geometry-optimized GdTlZnSe3 structure, computed with PBE-GGA.

The structure belongs to space group Pnma (No. 62); the cell edges are 11.038, 4.140 and 14.824 Å and the angles 90.00°, 90.00° and 90.00°. Symmetry generates all atoms from Gd at (0.009, 0.250, 0.245), Tl at (0.231, 0.750, 0.502), Zn at (0.241, 0.250, 0.715), Se at (0.053, 0.250, 0.625), Se at (0.077, 0.750, 0.119) and Se at (0.242, 0.750, 0.817).

For the final energy, the calculation gives -4.26 eV/atom.

***

(13)
A geometry-optimized Pr2Nd2BI5 structure, computed with PBE-GGA.

The structure belongs to space group C2/m (No. 12); the cell edges are 19.513, 4.214 and 9.021 Å and the angles 90.00°, 102.63° and 90.00°. Symmetry generates all atoms from Pr at (0.001, 0.000, 0.298), Nd at (0.139, 0.500, 0.571), B at (0.000, 0.500, 0.500), I at (0.000, 0.500, 0.000), I at (0.166, 0.000, 0.840) and I at (0.173, 0.000, 0.327).

For the final energy, the calculation gives -4.45 eV/atom.

***

(14)
A geometry-optimized LuNbNiSb structure, computed with PBE-GGA.

The structure belongs to space group F-43m (No. 216); the cell edges are 6.683, 6.683 and 6.683 Å and the angles 90.00°, 90.00° and 90.00°. Symmetry generates all atoms from Lu at (0.000, 0.000, 0.000), Nb at (0.250, 0.250, 0.250), Ni at (0.250, 0.250, 0.750) and Sb at (0.000, 0.000, 0.500).

For the final energy, the calculation gives -6.01 eV/atom.

***

(15)
A geometry-optimized TlCuIrAu structure, computed with PBE-GGA.

The structure belongs to space group F-43m (No. 216); the cell edges are 6.480, 6.480 and 6.480 Å and the angles 90.00°, 90.00° and 90.00°. Symmetry generates all atoms from Tl at (0.000, 0.000, 0.000), Cu at (0.250, 0.250, 0.250), Ir at (0.250, 0.250, 0.750) and Au at (0.000, 0.000, 0.500).

For the final energy, the calculation gives -4.21 eV/atom.

***

(16)
A geometry-optimized LuTlCoSe3 structure, computed with PBE-GGA.

The structure belongs to space group Pnma (No. 62); the cell edges are 11.386, 4.113 and 12.335 Å and the angles 90.00°, 90.00° and 90.00°. Symmetry generates all atoms from Lu at (0.015, 0.250, 0.178), Tl at (0.175, 0.250, 0.501), Co at (0.246, 0.750, 0.303), Se at (0.040, 0.750, 0.332), Se at (0.102, 0.250, 0.939) and Se at (0.227, 0.750, 0.708).

For the final energy, the calculation gives -4.88 eV/atom.

***

(17)
A geometry-optimized UAlB structure, computed with PBE-GGA.

The structure belongs to space group F-43m (No. 216); the cell edges are 6.013, 6.013 and 6.013 Å and the angles 90.00°, 90.00° and 90.00°. Symmetry generates all atoms from U at (0.000, 0.000, 0.000), Al at (0.250, 0.250, 0.750) and B at (0.000, 0.000, 0.500).

For the final energy, the calculation gives -6.11 eV/atom.

***

(18)
A geometry-optimized Zr3Co2 structure, computed with PBE-GGA.

The structure belongs to space group R-3c (No. 167, hexagonal axes); the cell edges are 6.1165, 6.1165 and 17.3256 Å and the angles 90.00°, 90.00° and 120.00°. Symmetry generates all atoms from Zr at (0.0000, 0.3904, 0.2500) and Co at (0.0000, 0.0000, 0.1833).

For the final energy, the calculation gives -8.05 eV/atom.

***

(19)
A geometry-optimized ErPbNO structure, computed with PBE-GGA.

The structure belongs to space group P4/nmm (No. 129, origin choice 2); the cell edges are 4.523, 4.523 and 7.491 Å and the angles 90.00°, 90.00° and 90.00°. Symmetry generates all atoms from Er at (0.250, 0.250, 0.078), Pb at (0.250, 0.750, 0.500), N at (0.250, 0.250, 0.359) and O at (0.250, 0.750, 0.000).

For the final energy, the calculation gives -6.64 eV/atom.

***

(20)
A geometry-optimized Pm2Si3Ni5 structure, computed with PBE-GGA.

The structure belongs to space group Ibam (No. 72); the cell edges are 9.338, 11.597 and 5.614 Å and the angles 90.00°, 90.00° and 90.00°. Symmetry generates all atoms from Pm at (0.244, 0.129, 0.000), Si at (0.000, 0.000, 0.250), Si at (0.134, 0.384, 0.000), Ni at (0.000, 0.270, 0.250), Ni at (0.000, 0.500, 0.250) and Ni at (0.119, 0.124, 0.500).

For the final energy, the calculation gives -6.03 eV/atom.

***

(21)
A geometry-optimized Cd2Pd2O5 structure, computed with PBE-GGA.

The structure belongs to space group P4/mmm (No. 123); the cell edges are 3.521, 3.521 and 9.425 Å and the angles 90.00°, 90.00° and 90.00°. Symmetry generates all atoms from Cd at (0.000, 0.000, 0.229), Pd at (0.500, 0.500, 0.000), Pd at (0.500, 0.500, 0.500), O at (0.000, 0.000, 0.000) and O at (0.000, 0.500, 0.375).

For the final energy, the calculation gives -4.23 eV/atom.

***

(22)
A geometry-optimized Pr3Er3NiTe2 structure, computed with PBE-GGA.

The structure belongs to space group P-62m (No. 189); the cell edges are 8.6209, 8.6209 and 3.8787 Å and the angles 90.00°, 90.00° and 120.00°. Symmetry generates all atoms from Pr at (0.0000, 0.7562, 0.0000), Er at (0.0000, 0.4095, 0.5000), Ni at (0.0000, 0.0000, 0.5000) and Te at (0.3333, 0.6667, 0.0000).

For the final energy, the calculation gives -5.05 eV/atom.